## Na4TiIr3S8 (GGA-PBE)

Data for Na4TiIr3S8 after structural relaxation.

Cell lengths 7.6391, 7.6391, 7.6391 Å; angles 57.19, 57.19, 57.19 degrees
Closest atoms and distances in Å follow each position.
Fractional positions:
Na 0.0000 0.0000 0.0000  6 S 2.82
Na 0.0000 0.5000 0.5000  6 S 2.89-2.92
Na 0.5000 0.0000 0.5000  6 S 2.89-2.92
Na 0.5000 0.5000 0.0000  6 S 2.89-2.92
Ti 0.5000 0.5000 0.5000  6 S 2.50
Ir 0.0000 0.0000 0.5000  6 S 2.41-2.43
Ir 0.0000 0.5000 0.0000  6 S 2.41-2.43
Ir 0.5000 0.0000 0.0000  6 S 2.41-2.43
S 0.2228 0.7365 0.7365  2 Ir 2.43, 1 Ti 2.50
S 0.2274 0.2274 0.2274  3 Ir 2.41
S 0.2635 0.2635 0.7772  2 Ir 2.43, 1 Ti 2.50
S 0.2635 0.7772 0.2635  2 Ir 2.43, 1 Ti 2.50
S 0.7365 0.2228 0.7365  2 Ir 2.43, 1 Ti 2.50
S 0.7365 0.7365 0.2228  2 Ir 2.43, 1 Ti 2.50
S 0.7726 0.7726 0.7726  3 Ir 2.41
S 0.7772 0.2635 0.2635  2 Ir 2.43, 1 Ti 2.50

Values from the calculation:
M_tot	0.96	μB per formula unit
uncorrected energy	-5.343	eV per atom

## PmSeI (GGA-PBE)

Data for PmSeI after structural relaxation.

Cell lengths 7.8218, 7.8218, 9.2655 Å; angles 126.01, 126.01, 28.89 degrees
Closest atoms and distances in Å follow each position.
Fractional positions:
Pm 0.1309 0.1309 0.0711  4 Se 2.98-3.14, 3 I 3.18-3.29, 1 Pm 3.34
Pm 0.8691 0.8691 0.9289  4 Se 2.98-3.14, 3 I 3.18-3.29, 1 Pm 3.34
Se 0.4433 0.4433 0.7790  4 Pm 2.98-3.14
Se 0.5567 0.5567 0.2210  4 Pm 2.98-3.14
I 0.1619 0.1619 0.7488  3 Pm 3.18-3.29
I 0.8381 0.8381 0.2512  3 Pm 3.18-3.29

Values from the calculation:
M_tot	0.00	μB per formula unit
uncorrected energy	-4.719	eV per atom
energy relative to the lowest polymorph listed for this composition	236	meV per atom

## PrNd3Sn4 (GGA-PBE)

Data for PrNd3Sn4 after structural relaxation.

Cell lengths 10.1654, 10.1654, 10.1654 Å; angles 159.12, 137.96, 47.39 degrees
Closest atoms and distances in Å follow each position.
Fractional positions:
Pr 0.0000 0.0000 0.0000  4 Sn 3.22
Nd 0.2139 0.7139 0.5000  6 Sn 3.24-3.29
Nd 0.5000 0.5000 0.0000  8 Sn 3.38, 2 Nd 3.68
Nd 0.7861 0.2861 0.5000  6 Sn 3.24-3.29
Sn 0.1648 0.8709 0.2939  1 Sn 3.01, 1 Pr 3.22, 3 Nd 3.24-3.29
Sn 0.4230 0.1291 0.2939  1 Sn 3.01, 1 Pr 3.22, 3 Nd 3.24-3.29
Sn 0.5770 0.8709 0.7061  1 Sn 3.01, 1 Pr 3.22, 3 Nd 3.24-3.29
Sn 0.8352 0.1291 0.7061  1 Sn 3.01, 1 Pr 3.22, 3 Nd 3.24-3.29

Values from the calculation:
calculated formation energy	-575	meV per atom
M_tot	0.00	μB per formula unit
uncorrected energy	-4.962	eV per atom

> M_tot of number 1 (Na4TiIr3S8)?

0.96 μB per formula unit

> Which of these has the highest uncorrected energy?

PmSeI

> Among the records above, which one has the lowest uncorrected energy?

Na4TiIr3S8